Density functional theory data (PBE) for a relaxed structure of GdDy2Co.

Values from the calculation:
* energy above the most stable polymorph in this dataset: 0.000 eV/f.u.
* formation energy from the elements: -5 kJ/mol of atoms
* E_tot: -7.648 eV per atom

abc: 3.4027 3.4027 8.8750
angles: 90.00 90.00 90.00
Space group P4/mmm (No. 123)
Unique sites:
Gd 0.0000 0.0000 0.0000 x1
Dy 0.5000 0.5000 0.3194 x2
Co 0.0000 0.0000 0.5000 x1

Density functional theory data (PBE) for a relaxed structure of RbLiIn2I4.

Values from the calculation:
* formation energy without anion corrections: -6.7 eV per formula unit
* E_tot: -2.661 eV per atom

abc: 13.9736 13.9436 9.8448
angles: 90.00 134.74 90.00
Space group C2/c (No. 15)
Unique sites:
Rb 0.0000 0.0000 0.0000 x4
Li 0.2500 0.2500 0.0000 x4
In 0.0000 0.5000 0.0000 x4
In 0.2500 0.2500 0.5000 x4
I 0.0006 0.2543 0.9947 x8
I 0.2416 0.4600 0.9915 x8

Density functional theory data (PBE) for a relaxed structure of AlCuBr2.

Values from the calculation:
* energy above the most stable polymorph in this dataset: 2.068 eV/f.u.
* formation energy without anion corrections: 0.6 eV per formula unit
* E_tot: -2.644 eV per atom

abc: 7.1055 7.1055 7.1055
angles: 90.00 90.00 90.00
Space group Fm-3m (No. 225)
Unique sites:
Al 0.0000 0.0000 0.0000 x4
Cu 0.0000 0.0000 0.5000 x4
Br 0.2500 0.2500 0.2500 x8

Density functional theory data (PBE) for a relaxed structure of AgHgAuF6.

Values from the calculation:
* formation energy without anion corrections: -9.8 eV per formula unit
* E_tot: -3.052 eV per atom

abc: 6.0377 6.0377 9.3282
angles: 90.00 90.00 120.00
Space group P-31c (No. 163)
Unique sites:
Ag 0.0000 0.0000 0.0000 x2
Hg 0.3333 0.6667 0.2500 x2
Au 0.3333 0.6667 0.7500 x2
F 0.0213 0.3532 0.6315 x12

Density functional theory data (PBE) for a relaxed structure of K2CdCoBr.

Values from the calculation:
* formation energy without anion corrections: 0.4 eV per formula unit
* E_tot: -2.289 eV per atom

abc: 6.4091 6.4091 4.4549
angles: 90.00 90.00 90.00
Space group P4/mmm (No. 123)
Unique sites:
K 0.0000 0.5000 0.0000 x2
Cd 0.0000 0.0000 0.5000 x1
Co 0.5000 0.5000 0.5000 x1
Br 0.5000 0.5000 0.0000 x1

Density functional theory data (PBE) for a relaxed structure of TlSbIO2.

Values from the calculation:
* energy above the most stable polymorph in this dataset: 6.097 eV/f.u.
* formation energy without anion corrections: 1.8 eV per formula unit
* E_tot: -3.238 eV per atom

abc: 4.4289 4.4289 6.0147
angles: 90.00 90.00 90.00
Space group P4/mmm (No. 123)
Unique sites:
Tl 0.0000 0.0000 0.0000 x1
Sb 0.5000 0.5000 0.5000 x1
I 0.0000 0.0000 0.5000 x1
O 0.0000 0.5000 0.0000 x2